# LiZr2Hg, PBEsol geometry, DFT meta-GGA SCAN
data_LiZr2Hg
_chemical_formula_sum 'Li1 Zr2 Hg1'
_cell_length_a 2.917
_cell_length_b 5.022
_cell_length_c 5.515
_cell_angle_alpha 90.00
_cell_angle_beta 103.56
_cell_angle_gamma 90.00
_symmetry_space_group_name_H-M 'P 1 2/m 1'
_symmetry_Int_Tables_number 10
loop_
_symmetry_equiv_pos_as_xyz
'x,y,z'
'-x,-y,-z'
'-x,y,-z'
'x,-y,z'
loop_
_atom_site_label
_atom_site_type_symbol
_atom_site_fract_x
_atom_site_fract_y
_atom_site_fract_z
_atom_site_occupancy
Li1 Li 0.000 0.000 0.000 1
Zr1 Zr 0.203 0.500 0.758 1
Hg1 Hg 0.500 0.000 0.500 1
# ΔH_f (0 K) = -0.026 eV per atom
# M_tot = 0.000 μB per atom
# E = -132.1 eV per cell